# CsRb2P

A geometry-optimized CsRb2P structure (PBE, Alexandria via LeMat-Bulk).

The space group is I-42d (No. 122) and the conventional cell measures 5.861, 5.861 and 23.284 Å, with angles of 90.00, 90.00 and 90.00 degrees. The inequivalent atoms are Cs at (0.000, 0.000, 0.000), Rb at (0.185, 0.250, 0.625) and P at (0.000, 0.000, 0.500).

The calculation puts the magnetic moment at 0.0000 μB/atom. For the density of states at the Fermi level, the calculation gives 0.25 states/eV/atom. The formation energy comes out at 0.5 eV per formula unit.